1.
# GGA-PBE Li2CdIn, optimized geometry
data_Li2CdIn
_chemical_formula_sum 'Li8 Cd4 In4'
_symmetry_space_group_name_H-M 'F -4 3 m'
_symmetry_Int_Tables_number 216
_symmetry_space_group_name_Hall 'F -4 2 3'
_cell_length_a 6.6345
_cell_length_b 6.6345
_cell_length_c 6.6345
_cell_angle_alpha 90.00
_cell_angle_beta 90.00
_cell_angle_gamma 90.00
loop_
_atom_site_label
_atom_site_type_symbol
_atom_site_fract_x
_atom_site_fract_y
_atom_site_fract_z
_atom_site_occupancy
Li1 Li 0.0000 0.0000 0.0000 1
Li2 Li 0.2500 0.2500 0.2500 1
Cd1 Cd 0.2500 0.2500 0.7500 1
In1 In 0.0000 0.0000 0.5000 1
# Final energy in eV/f.u.: -8.60
# ρ in g cm⁻³: 5.48

2.
# GGA-PBE LaBeAlPd, optimized geometry
data_LaBeAlPd
_chemical_formula_sum 'La4 Be4 Al4 Pd4'
_symmetry_space_group_name_H-M 'F -4 3 m'
_symmetry_Int_Tables_number 216
_symmetry_space_group_name_Hall 'F -4 2 3'
_cell_length_a 6.7167
_cell_length_b 6.7167
_cell_length_c 6.7167
_cell_angle_alpha 90.00
_cell_angle_beta 90.00
_cell_angle_gamma 90.00
loop_
_atom_site_label
_atom_site_type_symbol
_atom_site_fract_x
_atom_site_fract_y
_atom_site_fract_z
_atom_site_occupancy
La1 La 0.0000 0.0000 0.0000 1
Be1 Be 0.2500 0.2500 0.7500 1
Al1 Al 0.0000 0.0000 0.5000 1
Pd1 Pd 0.2500 0.2500 0.2500 1
# Final energy in eV/f.u.: -18.75
# ρ in g cm⁻³: 6.17
# Excess energy over the best structure of this formula in the dataset in meV/atom: 0

3.
# GGA-PBE LiTbSnPd, optimized geometry
data_LiTbSnPd
_chemical_formula_sum 'Li4 Tb4 Sn4 Pd4'
_symmetry_space_group_name_H-M 'F -4 3 m'
_symmetry_Int_Tables_number 216
_symmetry_space_group_name_Hall 'F -4 2 3'
_cell_length_a 6.7489
_cell_length_b 6.7489
_cell_length_c 6.7489
_cell_angle_alpha 90.00
_cell_angle_beta 90.00
_cell_angle_gamma 90.00
loop_
_atom_site_label
_atom_site_type_symbol
_atom_site_fract_x
_atom_site_fract_y
_atom_site_fract_z
_atom_site_occupancy
Li1 Li 0.0000 0.0000 0.0000 1
Tb1 Tb 0.2500 0.2500 0.7500 1
Sn1 Sn 0.2500 0.2500 0.2500 1
Pd1 Pd 0.0000 0.0000 0.5000 1
# Final energy in eV/f.u.: -18.96
# ρ in g cm⁻³: 8.45

4.
# GGA-PBE YCdInTe3, optimized geometry
data_YCdInTe3
_chemical_formula_sum 'Y4 Cd4 In4 Te12'
_symmetry_space_group_name_H-M 'P n m a'
_symmetry_Int_Tables_number 62
_cell_length_a 15.1506
_cell_length_b 4.4673
_cell_length_c 11.9263
_cell_angle_alpha 90.00
_cell_angle_beta 90.00
_cell_angle_gamma 90.00
loop_
_symmetry_equiv_pos_as_xyz
'x,y,z'
'-x,-y,-z'
'-x+1/2,-y,z+1/2'
'x+1/2,y,-z+1/2'
'x+1/2,-y+1/2,-z+1/2'
'-x+1/2,y+1/2,z+1/2'
'-x,y+1/2,-z'
'x,-y+1/2,z'
loop_
_atom_site_label
_atom_site_type_symbol
_atom_site_fract_x
_atom_site_fract_y
_atom_site_fract_z
_atom_site_occupancy
Y1 Y 0.0263 0.2500 0.1554 1
Cd1 Cd 0.0210 0.7500 0.3979 1
In1 In 0.2386 0.2500 0.4523 1
Te1 Te 0.0984 0.7500 0.6244 1
Te2 Te 0.1037 0.2500 0.9207 1
Te3 Te 0.1562 0.7500 0.2324 1
# Final energy in eV/f.u.: -24.10
# ρ in g cm⁻³: 5.75
# Excess energy over the best structure of this formula in the dataset in meV/atom: 3

5.
# GGA-PBE Er2LuAl7Cu2, optimized geometry
data_Er2LuAl7Cu2
_chemical_formula_sum 'Er6 Lu3 Al21 Cu6'
_symmetry_space_group_name_H-M 'R -3 m'
_symmetry_Int_Tables_number 166
_symmetry_space_group_name_Hall '-R 3 2"'
_cell_length_a 5.4499
_cell_length_b 5.4499
_cell_length_c 25.2466
_cell_angle_alpha 90.00
_cell_angle_beta 90.00
_cell_angle_gamma 120.00
loop_
_atom_site_label
_atom_site_type_symbol
_atom_site_fract_x
_atom_site_fract_y
_atom_site_fract_z
_atom_site_occupancy
Er1 Er 0.0000 0.0000 0.1421 1
Lu1 Lu 0.0000 0.0000 0.0000 1
Al1 Al 0.0000 0.0000 0.5000 1
Al2 Al 0.0061 0.5031 0.9211 1
Cu1 Cu 0.0000 0.0000 0.3352 1
# Final energy in eV/f.u.: -52.82
# ρ in g cm⁻³: 6.33

6.
# GGA-PBE Y4InFeN2, optimized geometry
data_Y4InFeN2
_chemical_formula_sum 'Y4 In1 Fe1 N2'
_symmetry_space_group_name_H-M 'P -6 m 2'
_symmetry_Int_Tables_number 187
_symmetry_space_group_name_Hall 'P -6 2'
_cell_length_a 3.4834
_cell_length_b 3.4834
_cell_length_c 14.8218
_cell_angle_alpha 90.00
_cell_angle_beta 90.00
_cell_angle_gamma 120.00
loop_
_atom_site_label
_atom_site_type_symbol
_atom_site_fract_x
_atom_site_fract_y
_atom_site_fract_z
_atom_site_occupancy
Y1 Y 0.0000 0.0000 0.1341 1
Y2 Y 0.3333 0.6667 0.3213 1
In1 In 0.0000 0.0000 0.5000 1
Fe1 Fe 0.3333 0.6667 0.0000 1
N1 N 0.6667 0.3333 0.2382 1
# Final energy in eV/f.u.: -59.60
# ρ in g cm⁻³: 5.91
# Excess energy over the best structure of this formula in the dataset in meV/atom: 17

7.
# GGA-PBE ScCdFeSb, optimized geometry
data_ScCdFeSb
_chemical_formula_sum 'Sc4 Cd4 Fe4 Sb4'
_symmetry_space_group_name_H-M 'F -4 3 m'
_symmetry_Int_Tables_number 216
_symmetry_space_group_name_Hall 'F -4 2 3'
_cell_length_a 6.7645
_cell_length_b 6.7645
_cell_length_c 6.7645
_cell_angle_alpha 90.00
_cell_angle_beta 90.00
_cell_angle_gamma 90.00
loop_
_atom_site_label
_atom_site_type_symbol
_atom_site_fract_x
_atom_site_fract_y
_atom_site_fract_z
_atom_site_occupancy
Sc1 Sc 0.0000 0.0000 0.0000 1
Cd1 Cd 0.2500 0.2500 0.2500 1
Fe1 Fe 0.2500 0.2500 0.7500 1
Sb1 Sb 0.0000 0.0000 0.5000 1
# Final energy in eV/f.u.: -19.17
# ρ in g cm⁻³: 7.19
# Excess energy over the best structure of this formula in the dataset in meV/atom: 130

8.
# GGA-PBE NaBiAu, optimized geometry
data_NaBiAu
_chemical_formula_sum 'Na4 Bi4 Au4'
_symmetry_space_group_name_H-M 'F -4 3 m'
_symmetry_Int_Tables_number 216
_symmetry_space_group_name_Hall 'F -4 2 3'
_cell_length_a 6.8263
_cell_length_b 6.8263
_cell_length_c 6.8263
_cell_angle_alpha 90.00
_cell_angle_beta 90.00
_cell_angle_gamma 90.00
loop_
_atom_site_label
_atom_site_type_symbol
_atom_site_fract_x
_atom_site_fract_y
_atom_site_fract_z
_atom_site_occupancy
Na1 Na 0.0000 0.0000 0.0000 1
Bi1 Bi 0.0000 0.0000 0.5000 1
Au1 Au 0.2500 0.2500 0.7500 1
# Final energy in eV/f.u.: -9.47
# ρ in g cm⁻³: 8.96
# Excess energy over the best structure of this formula in the dataset in meV/atom: 0